First-principles (PBE+U) data for a relaxed structure of MnBiB2O6, as listed in the Alexandria database.

Summary:
E, eV per atom: -7.355
Total magnetization, μB per formula unit: 4.0

Unit cell a=4.9270 b=4.9270 c=6.0784 alpha=66.09 beta=66.09 gamma=60.00
Last column: nearest neighbours and their distance in Å.
Atoms (fractional coordinates):
Mn 0.5000 0.5000 0.5000  6 O 2.09
Bi 0.0000 0.0000 0.0000  6 O 2.38
B 0.7583 0.7583 0.7252  3 O 1.39
B 0.2417 0.2417 0.2748  3 O 1.39
O 0.0524 0.4922 0.7314  1 B 1.39
O 0.7240 0.0524 0.7314  1 B 1.39
O 0.5078 0.2760 0.2686  1 B 1.39
O 0.9476 0.5078 0.2686  1 B 1.39
O 0.2760 0.9476 0.2686  1 B 1.39
O 0.4922 0.7240 0.7314  1 B 1.39